# 1
Compound: Re2TeAu
Source: the Alexandria database
Functional: PBE-GGA
Structure: relaxed

a = 4.7172 Å, b = 3.0504 Å, c = 5.2204 Å
α = 90.00°, β = 112.36°, γ = 90.00°
Fractional positions:
Re (0.0000, 0.0000, 0.0000)
Re (0.0000, 0.5000, 0.5000)
Te (0.5000, 0.0000, 0.5000)
Au (0.5000, 0.5000, 0.0000)

As for the volume: 17.4 Å³/atom. For the total energy, the calculation gives -6.97 eV/atom. Its crystal system is monoclinic. Its uncorrected formation energy is 855.6 meV/atom. Its spin magnetization is 0.00 Bohr magnetons per cell.

***

# 2
Compound: ReTeAu
Source: the Alexandria database
Functional: PBE-GGA
Structure: relaxed

a = 3.1389 Å, b = 3.1389 Å, c = 12.6647 Å
α = 90.00°, β = 90.00°, γ = 90.00°
Fractional positions:
Re (0.0000, 0.0000, 0.0000)
Re (0.5000, 0.5000, 0.5000)
Te (0.0000, 0.0000, 0.6276)
Te (0.5000, 0.5000, 0.1276)
Au (0.0000, 0.0000, 0.3586)
Au (0.5000, 0.5000, 0.8586)

As for the volume: 20.8 Å³/atom. For the total energy, the calculation gives -5.70 eV/atom. The calculation puts the energy above the most stable polymorph in this dataset at 0.0 meV/atom. Its crystal system is tetragonal. Its uncorrected formation energy is 591.6 meV/atom. Its spin magnetization is 0.00 Bohr magnetons per cell.

***

# 3
Compound: Re2TeAu
Source: the Alexandria database
Functional: PBE-GGA
Structure: relaxed

a = 3.1384 Å, b = 4.8262 Å, c = 10.0274 Å
α = 90.00°, β = 90.00°, γ = 90.00°
Fractional positions:
Re (0.0000, 0.0000, 0.0000)
Re (0.0000, 0.5000, 0.1956)
Re (0.5000, 0.0000, 0.1956)
Re (0.5000, 0.5000, 0.0000)
Te (0.0000, 0.0000, 0.4530)
Te (0.5000, 0.5000, 0.4530)
Au (0.0000, 0.5000, 0.7581)
Au (0.5000, 0.0000, 0.7581)

As for the volume: 19.0 Å³/atom. For the total energy, the calculation gives -7.15 eV/atom. Its crystal system is orthorhombic. Its uncorrected formation energy is 674.5 meV/atom. Its spin magnetization is 0.00 Bohr magnetons per cell.

***

# 4
Compound: ReTeAu2
Source: the Alexandria database
Functional: PBE-GGA
Structure: relaxed

a = 4.5651 Å, b = 3.2380 Å, c = 5.4254 Å
α = 90.00°, β = 108.72°, γ = 90.00°
Fractional positions:
Re (0.0000, 0.0000, 0.0000)
Te (0.5000, 0.5000, 0.0000)
Au (0.0000, 0.5000, 0.5000)
Au (0.5000, 0.0000, 0.5000)

As for the volume: 19.0 Å³/atom. For the total energy, the calculation gives -4.83 eV/atom. Its crystal system is monoclinic. Its uncorrected formation energy is 708.8 meV/atom. Its spin magnetization is 1.10 Bohr magnetons per cell.

***

# 5
Compound: Re2TeAu
Source: the Alexandria database
Functional: PBE-GGA
Structure: relaxed

a = 2.9727 Å, b = 2.9727 Å, c = 8.7747 Å
α = 90.00°, β = 90.00°, γ = 90.00°
Fractional positions:
Re (0.0000, 0.0000, 0.0000)
Re (0.5000, 0.5000, 0.1858)
Te (0.0000, 0.0000, 0.4115)
Au (0.5000, 0.5000, 0.7697)

As for the volume: 19.4 Å³/atom. For the total energy, the calculation gives -7.38 eV/atom. Its crystal system is tetragonal. Its uncorrected formation energy is 444.6 meV/atom. Its spin magnetization is 0.00 Bohr magnetons per cell.

***

# 6
Compound: ReTeAu2
Source: the Alexandria database
Functional: PBE-GGA
Structure: relaxed

a = 3.5889 Å, b = 3.5889 Å, c = 5.9112 Å
α = 90.00°, β = 90.00°, γ = 90.00°
Fractional positions:
Re (0.0000, 0.0000, 0.0000)
Te (0.0000, 0.0000, 0.5000)
Au (0.5000, 0.5000, 0.2363)
Au (0.5000, 0.5000, 0.7637)

As for the volume: 19.0 Å³/atom. For the total energy, the calculation gives -4.70 eV/atom. Its crystal system is tetragonal. Its uncorrected formation energy is 833.5 meV/atom. Its spin magnetization is 0.27 Bohr magnetons per cell.

***

spin magnetization of number 4 (ReTeAu2)? 1.10 Bohr magnetons per cell